a) A relaxed structure of CsLa3Ag. Source: Alexandria, functional GGA-PBE.

Cell lengths 5.888, 5.888, 5.888 Å; angles 90.00, 90.00, 90.00 degrees
Element x y z (fractional)
Cs  0.000  0.000  0.000
Ag  0.500  0.500  0.500
La  0.000  0.500  0.000
La  0.000  0.000  0.500
La  0.500  0.000  0.000

space group	Pm-3m, No. 221

=====

b) A relaxed structure of CsLa3Ag. Source: Alexandria, functional GGA-PBE.

Cell lengths 6.096, 6.096, 6.096 Å; angles 90.00, 90.00, 90.00 degrees
Site moments in Bohr magnetons follow the coordinates.
Element x y z (fractional)
Cs  0.500  0.500  0.500  0.02
Ag  0.000  0.000  0.000  0.05
La  0.000  0.500  0.000  0.19
La  0.000  0.000  0.500  0.15
La  0.500  0.000  0.000  0.25

space group	Pm-3m, No. 221

=====

Calculated relative energies: a) 682; b) 0, given in meV per atom